DFT (PBE) results for Ca5LaHg4 after structural relaxation.

Values from the calculation:
The space group is P4/mmm (123). For the uncorrected energy, the calculation gives -2.02 eV/atom.

```
Ca5LaHg4
1.0
3.770 0.000 0.000
0.000 3.770 0.000
0.000 0.000 20.866
Ca La Hg
5 1 4
Direct
0.000 0.000 0.000
0.000 0.000 0.183
0.000 0.000 0.363
0.000 0.000 0.637
0.000 0.000 0.817
0.500 0.500 0.500
0.500 0.500 0.091
0.500 0.500 0.276
0.500 0.500 0.724
0.500 0.500 0.909
```



DFT (PBE) results for LuAlCuHg after structural relaxation.

Values from the calculation:
The space group is F-43m (216). For the uncorrected energy, the calculation gives -3.41 eV/atom.

```
LuAlCuHg
1.0
6.700 0.000 0.000
0.000 6.700 0.000
0.000 0.000 6.700
Lu Al Cu Hg
4 4 4 4
Direct
0.000 0.000 0.000
0.000 0.500 0.500
0.500 0.000 0.500
0.500 0.500 0.000
0.000 0.000 0.500
0.000 0.500 0.000
0.500 0.000 0.000
0.500 0.500 0.500
0.250 0.250 0.750
0.250 0.750 0.250
0.750 0.250 0.250
0.750 0.750 0.750
0.250 0.250 0.250
0.250 0.750 0.750
0.750 0.250 0.750
0.750 0.750 0.250
```



DFT (PBE) results for LiLa2Tb after structural relaxation.

Values from the calculation:
Its offset from the most stable computed form is 0 meV per atom. The space group is R-3m (166).

```
LiLa2Tb
1.0
3.618 0.000 0.000
-1.809 3.133 0.000
0.000 0.000 34.724
Li La Tb
3 6 3
Direct
0.000 0.000 0.000
0.333 0.667 0.667
0.667 0.333 0.333
0.000 0.000 0.251
0.000 0.000 0.749
0.333 0.667 0.415
0.333 0.667 0.918
0.667 0.333 0.082
0.667 0.333 0.585
0.000 0.000 0.500
0.333 0.667 0.167
0.667 0.333 0.833
```